[1]
# LaMgAl2

A crystal of LaMgAl2 relaxed with PBEsol (SCAN, Alexandria).

Output
**DOS at the Fermi energy**: 1.67 states/eV per cell
**Volume**: 22.801 Å³/atom
**ΔH_f (0 K)**: -0.14 eV per atom
**Total magnetization**: 0.0 μB per formula unit

Geometry as CIF:
```
data_LaMgAl2
_chemical_formula_sum 'La1 Mg1 Al2'
_cell_length_a 3.434
_cell_length_b 3.434
_cell_length_c 7.736
_cell_angle_alpha 90.00
_cell_angle_beta 90.00
_cell_angle_gamma 90.00
_symmetry_space_group_name_H-M 'P 4 m m'
_symmetry_Int_Tables_number 99
loop_
_symmetry_equiv_pos_as_xyz
'x,y,z'
'-y,x,z'
'-x,-y,z'
'y,-x,z'
'-x,y,z'
'y,x,z'
'x,-y,z'
'-y,-x,z'
loop_
_atom_site_label
_atom_site_fract_x
_atom_site_fract_y
_atom_site_fract_z
_atom_site_occupancy
La1 0.000 0.000 0.000 1
Mg1 0.500 0.500 0.330 1
Al1 0.000 0.000 0.551 1
Al2 0.500 0.500 0.723 1
```



[2]
# MgZn2ReH

A crystal of MgZn2ReH relaxed with PBEsol (SCAN, Alexandria).

Output
**DOS at the Fermi energy**: 2.98 states/eV per cell
**Volume**: 24.206 Å³/atom
**Total magnetization**: 2.8 μB per formula unit
**Total energy**: -19.900 eV/atom

Geometry as CIF:
```
data_MgZn2ReH
_chemical_formula_sum 'Mg1 Zn2 Re1 H1'
_cell_length_a 4.818
_cell_length_b 4.818
_cell_length_c 5.213
_cell_angle_alpha 90.00
_cell_angle_beta 90.00
_cell_angle_gamma 90.00
_symmetry_space_group_name_H-M 'P 4/m m m'
_symmetry_Int_Tables_number 123
_symmetry_space_group_name_Hall '-P 4 2'
loop_
_atom_site_label
_atom_site_fract_x
_atom_site_fract_y
_atom_site_fract_z
_atom_site_occupancy
Mg1 0.000 0.000 0.000 1
Zn1 0.000 0.500 0.500 1
Re1 0.000 0.000 0.500 1
H1 0.500 0.500 0.000 1
```



[3]
# Li2Mn2FeO6

A crystal of Li2Mn2FeO6 relaxed with PBEsol (SCAN, Alexandria).

Output
**DOS at the Fermi energy**: 0.14 states/eV per cell
**Volume**: 9.141 Å³/atom
**Formation energy without anion corrections**: -2.042 eV per atom
**Total magnetization**: 6.0 μB per formula unit

Geometry as CIF:
```
data_Li2Mn2FeO6
_chemical_formula_sum 'Li8 Mn8 Fe4 O24'
_cell_length_a 10.022
_cell_length_b 4.836
_cell_length_c 8.298
_cell_angle_alpha 90.00
_cell_angle_beta 90.00
_cell_angle_gamma 90.00
_symmetry_space_group_name_H-M 'A e a 2'
_symmetry_Int_Tables_number 41
loop_
_symmetry_equiv_pos_as_xyz
'x,y,z'
'-x,-y,z'
'-x+1/2,y+1/2,z'
'x+1/2,-y+1/2,z'
'x,y+1/2,z+1/2'
'-x,-y+1/2,z+1/2'
'-x+1/2,y,z+1/2'
'x+1/2,-y,z+1/2'
loop_
_atom_site_label
_atom_site_fract_x
_atom_site_fract_y
_atom_site_fract_z
_atom_site_occupancy
Li1 0.250 0.089 0.000 1
Mn1 0.000 0.000 0.089 1
Mn2 0.000 0.000 0.415 1
Fe1 0.000 0.000 0.751 1
O1 0.103 0.333 0.752 1
O2 0.106 0.332 0.082 1
O3 0.106 0.332 0.421 1
```



[4]
# NaZn2Au2

A crystal of NaZn2Au2 relaxed with PBEsol (SCAN, Alexandria).

Output
**DOS at the Fermi energy**: 2.11 states/eV per cell
**Volume**: 17.095 Å³/atom
**ΔH_f (0 K)**: -0.35 eV per atom
**Total magnetization**: 0.0 μB per formula unit

Geometry as CIF:
```
data_NaZn2Au2
_chemical_formula_sum 'Na2 Zn4 Au4'
_cell_length_a 7.888
_cell_length_b 7.888
_cell_length_c 2.748
_cell_angle_alpha 90.00
_cell_angle_beta 90.00
_cell_angle_gamma 90.00
_symmetry_space_group_name_H-M 'P 4/m b m'
_symmetry_Int_Tables_number 127
_symmetry_space_group_name_Hall '-P 4 2ab'
loop_
_atom_site_label
_atom_site_fract_x
_atom_site_fract_y
_atom_site_fract_z
_atom_site_occupancy
Na1 0.000 0.000 0.000 1
Zn1 0.126 0.374 0.500 1
Au1 0.170 0.670 0.000 1
```



[5]
# Cu2PtPb

A crystal of Cu2PtPb relaxed with PBEsol (SCAN, Alexandria).

Output
**DOS at the Fermi energy**: 4.52 states/eV per cell
**Volume**: 16.535 Å³/atom
**ΔH_f (0 K)**: 0.32 eV per atom
**Total magnetization**: 0.0 μB per formula unit

Geometry as CIF:
```
data_Cu2PtPb
_chemical_formula_sum 'Cu6 Pt3 Pb3'
_cell_length_a 3.0748
_cell_length_b 3.0748
_cell_length_c 24.2330
_cell_angle_alpha 90.00
_cell_angle_beta 90.00
_cell_angle_gamma 120.00
_symmetry_space_group_name_H-M 'R -3 m'
_symmetry_Int_Tables_number 166
_symmetry_space_group_name_Hall '-R 3 2"'
loop_
_atom_site_label
_atom_site_fract_x
_atom_site_fract_y
_atom_site_fract_z
_atom_site_occupancy
Cu1 0.0000 0.0000 0.2431 1
Pt1 0.0000 0.0000 0.5000 1
Pb1 0.0000 0.0000 0.0000 1
```



[6]
# LaMoClO4

A crystal of LaMoClO4 relaxed with PBEsol (SCAN, Alexandria).

Output
**DOS at the Fermi energy**: 0.00 states/eV per cell
**Volume**: 15.656 Å³/atom
**Formation energy without anion corrections**: -2.789 eV per atom
**Total magnetization**: 0.0 μB per formula unit

Geometry as CIF:
```
data_LaMoClO4
_chemical_formula_sum 'La8 Mo8 Cl8 O32'
_cell_length_a 19.075
_cell_length_b 5.834
_cell_length_c 7.879
_cell_angle_alpha 90.00
_cell_angle_beta 90.05
_cell_angle_gamma 90.00
_symmetry_space_group_name_H-M 'P 1 21/c 1'
_symmetry_Int_Tables_number 14
loop_
_symmetry_equiv_pos_as_xyz
'x,y,z'
'-x,-y,-z'
'-x,y+1/2,-z+1/2'
'x,-y+1/2,z+1/2'
loop_
_atom_site_label
_atom_site_fract_x
_atom_site_fract_y
_atom_site_fract_z
_atom_site_occupancy
La1 0.104 0.194 0.127 1
La2 0.396 0.696 0.378 1
Mo1 0.178 0.748 0.410 1
Mo2 0.322 0.244 0.659 1
Cl1 0.011 0.736 0.625 1
Cl2 0.489 0.238 0.872 1
O1 0.133 0.020 0.404 1
O2 0.135 0.011 0.843 1
O3 0.171 0.683 0.630 1
O4 0.232 0.243 0.621 1
O5 0.268 0.736 0.875 1
O6 0.328 0.182 0.879 1
O7 0.365 0.520 0.654 1
O8 0.368 0.511 0.094 1
```



[7]
# MnSi2Pb

A crystal of MnSi2Pb relaxed with PBEsol (SCAN, Alexandria).

Output
**DOS at the Fermi energy**: 3.78 states/eV per cell
**Volume**: 17.956 Å³/atom
**Formation energy without anion corrections**: 0.546 eV per atom
**Total magnetization**: 3.8 μB per formula unit

Geometry as CIF:
```
data_MnSi2Pb
_chemical_formula_sum 'Mn2 Si4 Pb2'
_cell_length_a 3.859
_cell_length_b 3.859
_cell_length_c 9.647
_cell_angle_alpha 90.00
_cell_angle_beta 90.00
_cell_angle_gamma 90.00
_symmetry_space_group_name_H-M 'I 4/m m m'
_symmetry_Int_Tables_number 139
_symmetry_space_group_name_Hall '-I 4 2'
loop_
_atom_site_label
_atom_site_fract_x
_atom_site_fract_y
_atom_site_fract_z
_atom_site_occupancy
Mn1 0.000 0.000 0.000 1
Si1 0.000 0.500 0.250 1
Pb1 0.000 0.000 0.500 1
```



[8]
# Mg2AsPb

A crystal of Mg2AsPb relaxed with PBEsol (SCAN, Alexandria).

Output
**DOS at the Fermi energy**: 1.58 states/eV per cell
**Volume**: 22.192 Å³/atom
**ΔH_f (0 K)**: -0.22 eV per atom
**Total magnetization**: 0.0 μB per formula unit

Geometry as CIF:
```
data_Mg2AsPb
_chemical_formula_sum 'Mg2 As1 Pb1'
_cell_length_a 3.191
_cell_length_b 3.629
_cell_length_c 7.667
_cell_angle_alpha 90.00
_cell_angle_beta 90.00
_cell_angle_gamma 90.00
_symmetry_space_group_name_H-M 'P m m m'
_symmetry_Int_Tables_number 47
loop_
_symmetry_equiv_pos_as_xyz
'x,y,z'
'-x,-y,-z'
'-x,-y,z'
'x,y,-z'
'x,-y,-z'
'-x,y,z'
'-x,y,-z'
'x,-y,z'
loop_
_atom_site_label
_atom_site_fract_x
_atom_site_fract_y
_atom_site_fract_z
_atom_site_occupancy
Mg1 0.000 0.000 0.206 1
As1 0.500 0.500 0.000 1
Pb1 0.500 0.500 0.500 1
```



[9]
# Tc2BiSbC

A crystal of Tc2BiSbC relaxed with PBEsol (SCAN, Alexandria).

Output
**DOS at the Fermi energy**: 3.59 states/eV per cell
**Volume**: 17.040 Å³/atom
**Formation energy without anion corrections**: 1.033 eV per atom
**Total magnetization**: 2.3 μB per formula unit

Geometry as CIF:
```
data_Tc2BiSbC
_chemical_formula_sum 'Tc2 Bi1 Sb1 C1'
_cell_length_a 4.228
_cell_length_b 4.228
_cell_length_c 4.766
_cell_angle_alpha 90.00
_cell_angle_beta 90.00
_cell_angle_gamma 90.00
_symmetry_space_group_name_H-M 'P 4/m m m'
_symmetry_Int_Tables_number 123
_symmetry_space_group_name_Hall '-P 4 2'
loop_
_atom_site_label
_atom_site_fract_x
_atom_site_fract_y
_atom_site_fract_z
_atom_site_occupancy
Tc1 0.000 0.500 0.000 1
Bi1 0.000 0.000 0.500 1
Sb1 0.500 0.500 0.500 1
C1 0.500 0.500 0.000 1
```



[10]
# Tl2CoCu

A crystal of Tl2CoCu relaxed with PBEsol (SCAN, Alexandria).

Output
**DOS at the Fermi energy**: 3.89 states/eV per cell
**Volume**: 17.865 Å³/atom
**ΔH_f (0 K)**: 0.48 eV per atom
**Total magnetization**: 1.3 μB per formula unit

Geometry as CIF:
```
data_Tl2CoCu
_chemical_formula_sum 'Tl4 Co2 Cu2'
_cell_length_a 2.979
_cell_length_b 4.285
_cell_length_c 11.197
_cell_angle_alpha 90.00
_cell_angle_beta 90.00
_cell_angle_gamma 90.00
_symmetry_space_group_name_H-M 'I m m 2'
_symmetry_Int_Tables_number 44
loop_
_symmetry_equiv_pos_as_xyz
'x,y,z'
'-x,-y,z'
'-x,y,z'
'x,-y,z'
'x+1/2,y+1/2,z+1/2'
'-x+1/2,-y+1/2,z+1/2'
'-x+1/2,y+1/2,z+1/2'
'x+1/2,-y+1/2,z+1/2'
loop_
_atom_site_label
_atom_site_fract_x
_atom_site_fract_y
_atom_site_fract_z
_atom_site_occupancy
Tl1 0.000 0.000 0.000 1
Tl2 0.000 0.500 0.220 1
Co1 0.000 0.500 0.709 1
Cu1 0.000 0.000 0.390 1
```



[11]
# KY2Mg

A crystal of KY2Mg relaxed with PBEsol (SCAN, Alexandria).

Output
**DOS at the Fermi energy**: 9.42 states/eV per cell
**Volume**: 32.629 Å³/atom
**ΔH_f (0 K)**: 0.39 eV per atom
**Total magnetization**: 0.1 μB per formula unit

Geometry as CIF:
```
data_KY2Mg
_chemical_formula_sum 'K2 Y4 Mg2'
_cell_length_a 6.891
_cell_length_b 12.394
_cell_length_c 3.361
_cell_angle_alpha 90.00
_cell_angle_beta 114.59
_cell_angle_gamma 90.00
_symmetry_space_group_name_H-M 'C 1 2/m 1'
_symmetry_Int_Tables_number 12
loop_
_symmetry_equiv_pos_as_xyz
'x,y,z'
'-x,-y,-z'
'-x,y,-z'
'x,-y,z'
'x+1/2,y+1/2,z'
'-x+1/2,-y+1/2,-z'
'-x+1/2,y+1/2,-z'
'x+1/2,-y+1/2,z'
loop_
_atom_site_label
_atom_site_fract_x
_atom_site_fract_y
_atom_site_fract_z
_atom_site_occupancy
K1 0.000 0.000 0.000 1
Y1 0.250 0.250 0.500 1
Mg1 0.000 0.500 0.000 1
```



[12]
# KCd5

A crystal of KCd5 relaxed with PBEsol (SCAN, Alexandria).

Output
**DOS at the Fermi energy**: 3.30 states/eV per cell
**Volume**: 24.651 Å³/atom
**ΔH_f (0 K)**: -0.03 eV per atom
**Total magnetization**: 0.0 μB per formula unit

Geometry as CIF:
```
data_KCd5
_chemical_formula_sum 'K2 Cd10'
_cell_length_a 13.736
_cell_length_b 2.997
_cell_length_c 7.378
_cell_angle_alpha 90.00
_cell_angle_beta 103.09
_cell_angle_gamma 90.00
_symmetry_space_group_name_H-M 'C 1 m 1'
_symmetry_Int_Tables_number 8
loop_
_symmetry_equiv_pos_as_xyz
'x,y,z'
'x,-y,z'
'x+1/2,y+1/2,z'
'x+1/2,-y+1/2,z'
loop_
_atom_site_label
_atom_site_fract_x
_atom_site_fract_y
_atom_site_fract_z
_atom_site_occupancy
K1 0.000 0.000 0.000 1
Cd1 0.141 0.500 0.432 1
Cd2 0.215 0.500 0.862 1
Cd3 0.273 0.000 0.209 1
Cd4 0.326 0.000 0.633 1
Cd5 0.461 0.500 0.453 1
```